# AlSnPdRh (PBE, relaxed)
# Calculated formation energy = -0.571 eV/atom
# M_tot = 0.00 μB/cell
# Raw total energy = -5.644 eV per atom
# Density = 9.14 Mg/m³
data_AlSnPdRh
_space_group_name_H-M_alt 'F -4 3 m'
_space_group_IT_number 216
_space_group_name_Hall 'F -4 2 3'
_cell_length_a 6.3649
_cell_length_b 6.3649
_cell_length_c 6.3649
_cell_angle_alpha 90.00
_cell_angle_beta 90.00
_cell_angle_gamma 90.00
loop_
_atom_site_label
_atom_site_type_symbol
_atom_site_fract_x
_atom_site_fract_y
_atom_site_fract_z
Al1 Al 0.0000 0.0000 0.0000
Sn1 Sn 0.0000 0.0000 0.5000
Pd1 Pd 0.2500 0.2500 0.7500
Rh1 Rh 0.2500 0.2500 0.2500